KLiGe2Os, relaxed, DFT GGA-PBE; energy = -4.719 eV per atom; spin magnetization = 0.000 μB per atom; calculated density = 5.4 Mg/m³; calculated formation energy = -0.02 eV/atom
1.0
4.762 0.000 0.000
0.000 4.762 0.000
0.000 0.000 5.194
K Li Ge Os
1 1 2 1
Direct
0.000 0.000 0.000
0.500 0.500 0.000
0.000 0.500 0.500
0.500 0.000 0.500
0.500 0.500 0.500